No. 1
# PBE-GGA PmTeNO, optimized geometry
data_PmTeNO
_chemical_formula_sum 'Pm2 Te2 N2 O2'
_symmetry_space_group_name_H-M 'P 4/n m m'
_symmetry_Int_Tables_number 129
_cell_length_a 5.130
_cell_length_b 5.130
_cell_length_c 4.922
_cell_angle_alpha 90.00
_cell_angle_beta 90.00
_cell_angle_gamma 90.00
loop_
_symmetry_equiv_pos_as_xyz
'x,y,z'
'-x,-y,-z'
'-y+1/2,x,z'
'y+1/2,-x,-z'
'-x+1/2,-y+1/2,z'
'x+1/2,y+1/2,-z'
'y,-x+1/2,z'
'-y,x+1/2,-z'
'x+1/2,-y,-z'
'-x+1/2,y,z'
'-y,-x,-z'
'y,x,z'
'-x,y+1/2,-z'
'x,-y+1/2,z'
'y+1/2,x+1/2,-z'
'-y+1/2,-x+1/2,z'
loop_
_atom_site_label
_atom_site_type_symbol
_atom_site_fract_x
_atom_site_fract_y
_atom_site_fract_z
_atom_site_occupancy
Pm1 Pm 0.250 0.750 0.000 1
Te1 Te 0.250 0.250 0.487 1
N1 N 0.250 0.250 0.902 1
O1 O 0.250 0.750 0.500 1
# E	-6.0838	eV per atom


No. 2
# PBE-GGA PW3N2, optimized geometry
data_PW3N2
_chemical_formula_sum 'P2 W6 N4'
_symmetry_space_group_name_H-M 'P 63/m m c'
_symmetry_Int_Tables_number 194
_symmetry_space_group_name_Hall '-P 6c 2c'
_cell_length_a 2.9006
_cell_length_b 2.9006
_cell_length_c 19.0514
_cell_angle_alpha 90.00
_cell_angle_beta 90.00
_cell_angle_gamma 120.00
loop_
_atom_site_label
_atom_site_type_symbol
_atom_site_fract_x
_atom_site_fract_y
_atom_site_fract_z
_atom_site_occupancy
P1 P 0.0000 0.0000 0.2500 1
W1 W 0.0000 0.0000 0.0000 1
W2 W 0.3333 0.6667 0.1533 1
N1 N 0.3333 0.6667 0.5774 1
# E	-10.0277	eV per atom


No. 3
# PBE-GGA Li5PdO4, optimized geometry
data_Li5PdO4
_chemical_formula_sum 'Li5 Pd1 O4'
_symmetry_space_group_name_H-M 'P 1 2/m 1'
_symmetry_Int_Tables_number 10
_cell_length_a 4.992
_cell_length_b 3.272
_cell_length_c 5.327
_cell_angle_alpha 90.00
_cell_angle_beta 91.99
_cell_angle_gamma 90.00
loop_
_symmetry_equiv_pos_as_xyz
'x,y,z'
'-x,-y,-z'
'-x,y,-z'
'x,-y,z'
loop_
_atom_site_label
_atom_site_type_symbol
_atom_site_fract_x
_atom_site_fract_y
_atom_site_fract_z
_atom_site_occupancy
Li1 Li 0.000 0.000 0.000 1
Li2 Li 0.342 0.500 0.159 1
Li3 Li 0.365 0.000 0.675 1
Pd1 Pd 0.000 0.500 0.500 1
O1 O 0.233 0.000 0.331 1
O2 O 0.251 0.500 0.817 1
# E	-4.8979	eV per atom


No. 4
# PBE-GGA PaRePO, optimized geometry
data_PaRePO
_chemical_formula_sum 'Pa2 Re2 P2 O2'
_symmetry_space_group_name_H-M 'P m c 21'
_symmetry_Int_Tables_number 26
_cell_length_a 4.267
_cell_length_b 4.397
_cell_length_c 6.619
_cell_angle_alpha 90.00
_cell_angle_beta 90.00
_cell_angle_gamma 90.00
loop_
_symmetry_equiv_pos_as_xyz
'x,y,z'
'-x,-y,z+1/2'
'-x,y,z'
'x,-y,z+1/2'
loop_
_atom_site_label
_atom_site_type_symbol
_atom_site_fract_x
_atom_site_fract_y
_atom_site_fract_z
_atom_site_occupancy
Pa1 Pa 0.000 0.187 0.000 1
Re1 Re 0.500 0.323 0.345 1
P1 P 0.500 0.176 0.697 1
O1 O 0.000 0.305 0.345 1
# E	-8.8240	eV per atom


No. 5
# PBE-GGA NdGePO, optimized geometry
data_NdGePO
_chemical_formula_sum 'Nd2 Ge2 P2 O2'
_symmetry_space_group_name_H-M 'P 4/n m m'
_symmetry_Int_Tables_number 129
_cell_length_a 5.775
_cell_length_b 5.775
_cell_length_c 4.830
_cell_angle_alpha 90.00
_cell_angle_beta 90.00
_cell_angle_gamma 90.00
loop_
_symmetry_equiv_pos_as_xyz
'x,y,z'
'-x,-y,-z'
'-y+1/2,x,z'
'y+1/2,-x,-z'
'-x+1/2,-y+1/2,z'
'x+1/2,y+1/2,-z'
'y,-x+1/2,z'
'-y,x+1/2,-z'
'x+1/2,-y,-z'
'-x+1/2,y,z'
'-y,-x,-z'
'y,x,z'
'-x,y+1/2,-z'
'x,-y+1/2,z'
'y+1/2,x+1/2,-z'
'-y+1/2,-x+1/2,z'
loop_
_atom_site_label
_atom_site_type_symbol
_atom_site_fract_x
_atom_site_fract_y
_atom_site_fract_z
_atom_site_occupancy
Nd1 Nd 0.250 0.750 0.000 1
Ge1 Ge 0.250 0.250 0.494 1
P1 P 0.250 0.250 0.994 1
O1 O 0.250 0.750 0.500 1
# E	-5.9874	eV per atom


No. 6
# PBE-GGA CoGePd, optimized geometry
data_CoGePd
_chemical_formula_sum 'Co4 Ge4 Pd4'
_symmetry_space_group_name_H-M 'F -4 3 m'
_symmetry_Int_Tables_number 216
_symmetry_space_group_name_Hall 'F -4 2 3'
_cell_length_a 5.658
_cell_length_b 5.658
_cell_length_c 5.658
_cell_angle_alpha 90.00
_cell_angle_beta 90.00
_cell_angle_gamma 90.00
loop_
_atom_site_label
_atom_site_type_symbol
_atom_site_fract_x
_atom_site_fract_y
_atom_site_fract_z
_atom_site_occupancy
Co1 Co 0.000 0.000 0.000 1
Ge1 Ge 0.250 0.250 0.250 1
Pd1 Pd 0.000 0.000 0.500 1
# E	-5.7836	eV per atom


No. 7
# PBE-GGA Fe2AgSn, optimized geometry
data_Fe2AgSn
_chemical_formula_sum 'Fe8 Ag4 Sn4'
_symmetry_space_group_name_H-M 'F -4 3 m'
_symmetry_Int_Tables_number 216
_symmetry_space_group_name_Hall 'F -4 2 3'
_cell_length_a 6.308
_cell_length_b 6.308
_cell_length_c 6.308
_cell_angle_alpha 90.00
_cell_angle_beta 90.00
_cell_angle_gamma 90.00
loop_
_atom_site_label
_atom_site_type_symbol
_atom_site_fract_x
_atom_site_fract_y
_atom_site_fract_z
_atom_site_occupancy
Fe1 Fe 0.000 0.000 0.000 1
Fe2 Fe 0.250 0.250 0.250 1
Ag1 Ag 0.250 0.250 0.750 1
Sn1 Sn 0.000 0.000 0.500 1
# E	-5.5731	eV per atom


No. 8
# PBE-GGA Y4Hf2Sb3N3, optimized geometry
data_Y4Hf2Sb3N3
_chemical_formula_sum 'Y16 Hf8 Sb12 N12'
_symmetry_space_group_name_H-M 'C 1 2/c 1'
_symmetry_Int_Tables_number 15
_cell_length_a 10.507
_cell_length_b 6.082
_cell_length_c 14.856
_cell_angle_alpha 90.00
_cell_angle_beta 103.80
_cell_angle_gamma 90.00
loop_
_symmetry_equiv_pos_as_xyz
'x,y,z'
'-x,-y,-z'
'-x,y,-z+1/2'
'x,-y,z+1/2'
'x+1/2,y+1/2,z'
'-x+1/2,-y+1/2,-z'
'-x+1/2,y+1/2,-z+1/2'
'x+1/2,-y+1/2,z+1/2'
loop_
_atom_site_label
_atom_site_type_symbol
_atom_site_fract_x
_atom_site_fract_y
_atom_site_fract_z
_atom_site_occupancy
Y1 Y 0.114 0.076 0.091 1
Y2 Y 0.216 0.087 0.409 1
Hf1 Hf 0.060 0.413 0.921 1
Sb1 Sb 0.000 0.109 0.750 1
Sb2 Sb 0.154 0.430 0.248 1
N1 N 0.076 0.271 0.500 1
N2 N 0.250 0.250 0.000 1
# E	-8.0650	eV per atom